Record 1
VASP calculation (PBE-GGA) on an optimized crystal structure of InFe2Mo.

The structure in POSCAR format:
```
InFe2Mo
1.0
-1.940 1.940 3.933
1.940 -1.940 3.933
1.940 1.940 -3.933
In Fe Mo
1 2 1
Cartesian
0.000 0.000 0.000
0.000 0.000 3.933
0.000 1.940 1.966
1.940 0.000 1.966
```

Its space group is I-4m2 (119). The value obtained for the total magnetic moment is 3.8 μB per cell. The calculation puts the calculated total energy at -29.0 eV per cell. The formation energy comes out at 0.361 eV/atom.


Record 2
VASP calculation (PBE-GGA) on an optimized crystal structure of Sr2Mg3Cd12Hg.

The structure in POSCAR format:
```
Sr2Mg3Cd12Hg
1.0
3.387 1.955 12.427
-3.387 1.955 12.427
0.000 -3.911 12.427
Sr Mg Cd Hg
2 3 12 1
Cartesian
0.000 0.000 5.229
0.000 0.000 32.052
-1.693 -0.978 12.427
-1.693 0.978 24.854
0.000 1.955 12.427
0.000 -2.214 10.425
-1.917 1.107 10.425
-1.748 -1.009 16.503
-1.917 -1.107 26.856
0.000 -2.019 20.778
-1.748 1.009 20.778
1.748 -1.009 16.503
0.000 2.019 16.503
1.917 1.107 10.425
1.748 1.009 20.778
1.917 -1.107 26.856
0.000 2.214 26.856
0.000 0.000 18.640
```

Its space group is R-3m (166). The value obtained for the total magnetic moment is 0.0 μB per cell. The calculation puts the calculated total energy at -20.3 eV per cell. The formation energy comes out at -0.050 eV/atom.


Record 3
VASP calculation (PBE-GGA) on an optimized crystal structure of Sr3PtPb2.

The structure in POSCAR format:
```
Sr3PtPb2
1.0
13.369 0.000 0.000
0.000 4.698 0.000
0.000 0.000 13.071
Sr Pt Pb
12 4 8
Cartesian
0.734 1.175 1.607
1.474 3.524 7.151
3.065 1.175 10.413
3.620 3.524 3.877
5.211 1.175 0.616
5.950 3.524 8.142
7.419 1.175 4.929
8.158 3.524 12.456
9.749 1.175 9.194
10.304 3.524 2.658
11.895 1.175 5.920
12.635 3.524 11.465
1.640 1.175 4.849
5.044 3.524 11.384
8.325 1.175 1.687
11.728 3.524 8.223
0.191 3.524 3.949
2.684 3.524 13.019
4.001 1.175 6.483
6.493 1.175 10.485
6.875 3.524 2.586
9.368 3.524 6.588
10.685 1.175 0.053
13.178 1.175 9.122
```

Its space group is Pnma (62). The value obtained for the total magnetic moment is 0.0 μB per cell. The calculation puts the calculated total energy at -88.5 eV per cell. The formation energy comes out at -0.605 eV/atom.